(1)
Compound: BeCrBr
Source: the Alexandria database
Functional: SCAN
Structure: single point on PBEsol structure

Formation energy (no corrections) in eV/atom: 0.5824
Total moment in μB per cell: 1.34
Calculated volume in Å³/cell: 44.8
ΔE to the lowest computed polymorph in meV/atom: 0

Lattice parameters (Å, degrees): 2.9850 2.9850 5.8050 90.00 90.00 120.00
Positions (direct):
Be  0.0000  0.0000  0.0000
Cr  0.3333  0.6667  0.2778
Br  0.6667  0.3333  0.5679



(2)
Compound: Be2CrBr
Source: the Alexandria database
Functional: SCAN
Structure: single point on PBEsol structure

Formation energy (no corrections) in eV/atom: 0.1350
Total moment in μB per cell: 3.00
Calculated volume in Å³/cell: 60.7
ΔE to the lowest computed polymorph in meV/atom: 0

Lattice parameters (Å, degrees): 3.6514 3.6514 5.2581 90.09 90.09 59.98
Positions (direct):
Be  0.0000  0.0000  0.0000
Be  0.6667  0.6667  0.0303
Cr  0.3336  0.3336  0.2306
Br  0.0008  0.0008  0.5525



(3)
Compound: Be2CrBr
Source: the Alexandria database
Functional: SCAN
Structure: single point on PBEsol structure

Formation energy (no corrections) in eV/atom: 0.7294
Total moment in μB per cell: 7.91
Calculated volume in Å³/cell: 114.4
ΔE to the lowest computed polymorph in meV/atom: 594

Lattice parameters (Å, degrees): 5.3900 5.3900 5.3900 102.61 102.61 124.30
Positions (direct):
Be  0.1092  0.1250  0.4842
Be  0.3750  0.8908  0.0158
Be  0.6408  0.6250  0.5158
Be  0.8750  0.3592  0.9842
Cr  0.2500  0.7500  0.5000
Cr  0.5000  0.5000  0.0000
Br  0.0000  0.0000  0.0000
Br  0.7500  0.2500  0.5000



(4)
Compound: BeCrSeBr2
Source: the Alexandria database
Functional: SCAN
Structure: single point on PBEsol structure

Formation energy (no corrections) in eV/atom: -0.0552
Total moment in μB per cell: 4.00
Calculated volume in Å³/cell: 103.3

Lattice parameters (Å, degrees): 4.6166 4.6166 4.8450 90.00 90.00 90.00
Positions (direct):
Be  0.0000  0.0000  0.0000
Cr  0.5000  0.5000  0.5000
Se  0.0000  0.0000  0.5000
Br  0.0000  0.5000  0.0000
Br  0.5000  0.0000  0.0000



(5)
Compound: Cs2BeBr
Source: the Alexandria database
Functional: SCAN
Structure: single point on PBEsol structure

Formation energy (no corrections) in eV/atom: -0.1983
Total moment in μB per cell: 2.04
Calculated volume in Å³/cell: 424.6

Lattice parameters (Å, degrees): 8.2009 8.2009 8.2009 109.38 109.38 109.66
Positions (direct):
Cs  0.1040  0.1250  0.4790
Cs  0.3750  0.8960  0.0210
Cs  0.6460  0.6250  0.5210
Cs  0.8750  0.3540  0.9790
Be  0.2500  0.7500  0.5000
Be  0.5000  0.5000  0.0000
Br  0.0000  0.0000  0.0000
Br  0.7500  0.2500  0.5000



(6)
Compound: CsBeCuBr2
Source: the Alexandria database
Functional: SCAN
Structure: single point on PBEsol structure

Formation energy (no corrections) in eV/atom: -0.3495
Total moment in μB per cell: 0.00
Calculated volume in Å³/cell: 128.5

Lattice parameters (Å, degrees): 5.3746 5.3746 4.4488 90.00 90.00 90.00
Positions (direct):
Cs  0.0000  0.0000  0.0000
Be  0.5000  0.5000  0.0000
Cu  0.5000  0.5000  0.5000
Br  0.0000  0.5000  0.5000
Br  0.5000  0.0000  0.5000



(7)
Compound: BeCu2Br
Source: the Alexandria database
Functional: SCAN
Structure: single point on PBEsol structure

Formation energy (no corrections) in eV/atom: 0.6269
Total moment in μB per cell: 0.00
Calculated volume in Å³/cell: 55.5
ΔE to the lowest computed polymorph in meV/atom: 12

Lattice parameters (Å, degrees): 4.4312 4.4312 3.0543 90.00 90.00 112.32
Positions (direct):
Be  0.0000  0.0000  0.0000
Cu  0.0000  0.5000  0.5000
Cu  0.5000  0.0000  0.5000
Br  0.5000  0.5000  0.0000



(8)
Compound: BeCuBr2
Source: the Alexandria database
Functional: SCAN
Structure: single point on PBEsol structure

Formation energy (no corrections) in eV/atom: -0.0617
Total moment in μB per cell: 0.00
Calculated volume in Å³/cell: 100.4

Lattice parameters (Å, degrees): 7.0101 7.0101 7.0101 152.54 140.64 48.66
Positions (direct):
Be  0.0000  0.0000  0.0000
Cu  0.8762  0.3762  0.5000
Br  0.1127  0.6127  0.5000
Br  0.3880  0.3880  0.0000